Computed, not measured: an optimized crystal structure of SmYSi2Os at the PBE-GGA level of DFT.

CIF file:
```
data_SmYSi2Os
_chemical_formula_sum 'Sm4 Y4 Si8 Os4'
_space_group_name_H-M_alt 'C 1 2/m 1'
_space_group_IT_number 12
_space_group_name_Hall '-C 2y'
_cell_length_a 10.781
_cell_length_b 4.245
_cell_length_c 10.139
_cell_angle_alpha 90.00
_cell_angle_beta 119.03
_cell_angle_gamma 90.00
loop_
_atom_site_label
_atom_site_type_symbol
_atom_site_fract_x
_atom_site_fract_y
_atom_site_fract_z
Sm1 Sm 0.188 0.000 0.111
Y1 Y 0.007 0.000 0.677
Si1 Si 0.001 0.500 0.873
Si2 Si 0.146 0.500 0.560
Os1 Os 0.230 0.500 0.375
```

Computed properties:
As for the final energy: -7.419 eV/atom. The crystal system is monoclinic.